# TcNiRu GGA-PBE optimized geometry
data_TcNiRu
_chemical_formula_sum 'Tc1 Ni1 Ru1'
_cell_length_a 4.182
_cell_length_b 4.182
_cell_length_c 2.640
_cell_angle_alpha 90.00
_cell_angle_beta 90.00
_cell_angle_gamma 120.00
_space_group_name_H-M_alt 'P 1'
_space_group_IT_number 1
loop_
_space_group_symop_operation_xyz
'x,y,z'
loop_
_atom_site_label
_atom_site_fract_x
_atom_site_fract_y
_atom_site_fract_z
Tc1 0.333 0.667 0.834
Ni1 0.000 0.000 0.833
Ru1 0.667 0.333 0.333
# DFT formation energy: 0.129 eV/atom
# D(E_F): 3.9 states/eV per cell
# symmetry: P-6m2, No. 187
# total magnetic moment: 0.00 μB per formula unit
# polymorph energy (0 for the lowest one): 11.4 kJ per mole of atoms